# FeAsI2O

A relaxed FeAsI2O crystal (PBE+U, Alexandria via LeMat-Bulk).

Cell lengths 5.8982, 5.8982, 3.8394 Å; angles 90.00, 90.00, 90.00 degrees
Last column: nearest neighbours and their distance in Å.
Fractional positions:
I  0.0000  0.5000  0.0000  2 As 2.95
O  0.0000  0.0000  0.5000  2 As 1.92
As  0.0000  0.0000  0.0000  2 O 1.92
Fe  0.5000  0.5000  0.5000  8 I 3.52, 2 Fe 3.84
I  0.5000  0.0000  0.0000  2 As 2.95

Calculated values
N(E_F): 1.92 states/eV per cell
Space group: No. 123
Energy relative to the lowest polymorph listed for this composition: 99 meV per atom